Record 1
Material: VInSe3
Method: DFT, PBE-GGA
State: optimized geometry

Space-group type   No. 221
DFT total energy   -4.69 eV/atom
E above lowest polymorph   162 kJ/mol of formula units
Formation energy from raw total energies   -0.2272 eV/atom

Cell: 4.9175 4.9175 4.9175 Å, 90.00 90.00 90.00°
Fractional positions:
V: 0.0000 0.0000 0.0000
In: 0.5000 0.5000 0.5000
Se: 0.0000 0.0000 0.5000
Se: 0.0000 0.5000 0.0000
Se: 0.5000 0.0000 0.0000

---

Record 2
Material: YZnAgPb
Method: DFT, PBE-GGA
State: optimized geometry

Space-group type   No. 216
DFT formation energy   -0.2035 eV/atom
DFT total energy   -3.78 eV/atom

Cell: 5.0503 5.0503 5.0503 Å, 60.00 60.00 60.00°
Fractional positions:
Y: 0.0000 0.0000 0.0000
Zn: 0.2500 0.2500 0.2500
Ag: 0.7500 0.7500 0.7500
Pb: 0.5000 0.5000 0.5000

---

Record 3
Material: PrNd3ErTm
Method: DFT, PBE-GGA
State: optimized geometry

Space-group type   No. 63
DFT formation energy   0.0192 eV/atom
DFT total energy   -4.67 eV/atom

Cell: 8.1295 8.1295 10.2128 Å, 90.00 90.00 143.23°
Fractional positions:
Pr: 0.0000 0.0000 0.0000
Pr: 0.0000 0.0000 0.5000
Nd: 0.1673 0.8327 0.7500
Nd: 0.3332 0.6668 0.5006
Nd: 0.3332 0.6668 0.9994
Nd: 0.6668 0.3332 0.0006
Nd: 0.6668 0.3332 0.4994
Nd: 0.8327 0.1673 0.2500
Er: 0.4984 0.5016 0.7500
Er: 0.5016 0.4984 0.2500
Tm: 0.1651 0.8349 0.2500
Tm: 0.8349 0.1651 0.7500

---

Record 4
Material: LiDy2OsO6
Method: DFT, PBE-GGA
State: optimized geometry

Space-group type   No. 146
DFT total energy   -7.63 eV/atom
Formation energy from raw total energies   -2.4181 eV/atom

Cell: 5.7707 5.7707 5.7707 Å, 57.10 57.10 57.10°
Fractional positions:
Li: 0.0000 0.0000 0.0000
Dy: 0.2274 0.2274 0.2274
Dy: 0.7327 0.7327 0.7327
Os: 0.5229 0.5229 0.5229
O: 0.1728 0.4022 0.7792
O: 0.3123 0.8776 0.6423
O: 0.4022 0.7792 0.1728
O: 0.6423 0.3123 0.8776
O: 0.7792 0.1728 0.4022
O: 0.8776 0.6423 0.3123